No. 1
DFT (PBE-GGA) results for crystalline ZrN at its relaxed geometry.

V = 51 Å³/cell
Crystal system = hexagonal
D(E_F) = 0.181 states/eV/atom
Total DFT energy (no corrections) = -9.784 eV per atom

Cell: 3.2142 3.2142 5.7195 Å, 90.00 90.00 120.00°
Space group P6_3/mmc (No. 194)
Symmetry-distinct sites (fractional):
Zr  0.0000  0.0000  0.0000
N  0.3333  0.6667  0.2500

No. 2
DFT (PBE-GGA) results for crystalline ZrN at its relaxed geometry.

V = 124 Å³/cell
Crystal system = cubic
D(E_F) = 0.181 states/eV/atom
Total DFT energy (no corrections) = -9.804 eV per atom

Cell: 4.9903 4.9903 4.9903 Å, 90.00 90.00 90.00°
Space group F-43m (No. 216)
Symmetry-distinct sites (fractional):
Zr  0.0000  0.0000  0.0000
N  0.2500  0.2500  0.2500

No. 3
DFT (PBE-GGA) results for crystalline ZrN at its relaxed geometry.

V = 598 Å³/cell
Crystal system = orthorhombic
D(E_F) = 0.513 states/eV/atom
Total DFT energy (no corrections) = -9.585 eV per atom

Cell: 7.0282 8.3942 10.1347 Å, 90.00 90.00 90.00°
Space group Fddd (No. 70, origin choice 2)
Symmetry-distinct sites (fractional):
Zr  0.1250  0.3162  0.1250
N  0.1250  0.1250  0.2621

No. 4
DFT (PBE-GGA) results for crystalline Zr5N2 at its relaxed geometry.

V = 490 Å³/cell
Crystal system = monoclinic
D(E_F) = 0.694 states/eV/atom
Total DFT energy (no corrections) = -9.512 eV per atom

Cell: 14.5430 5.5590 6.2609 Å, 90.00 104.34 90.00°
Space group C2/c (No. 15)
Symmetry-distinct sites (fractional):
Zr  0.0000  0.0815  0.2500
Zr  0.1023  0.4334  0.9714
Zr  0.2042  0.0700  0.6367
N  0.1497  0.2454  0.3022

No. 5
DFT (PBE-GGA) results for crystalline ZrN at its relaxed geometry.

V = 191 Å³/cell
Crystal system = orthorhombic
D(E_F) = 0.354 states/eV/atom
Total DFT energy (no corrections) = -9.762 eV per atom

Cell: 3.5824 10.7182 4.9772 Å, 90.00 90.00 90.00°
Space group Pmmn (No. 59, origin choice 2)
Symmetry-distinct sites (fractional):
Zr  0.2500  0.0790  0.2190
Zr  0.2500  0.7500  0.2989
N  0.2500  0.2500  0.4681
N  0.2500  0.6051  0.0077

No. 6
DFT (PBE-GGA) results for crystalline ZrN at its relaxed geometry.

V = 286 Å³/cell
Crystal system = tetragonal
D(E_F) = 0.567 states/eV/atom
Total DFT energy (no corrections) = -9.678 eV per atom

Cell: 8.9660 8.9660 3.5550 Å, 90.00 90.00 90.00°
Space group I4/m (No. 87)
Symmetry-distinct sites (fractional):
Zr  0.1130  0.3098  0.0000
N  0.1196  0.7397  0.0000

No. 7
DFT (PBE-GGA) results for crystalline Zr4N at its relaxed geometry.

Distance to the lowest polymorph of the same formula = 0.026 eV per atom
V = 96 Å³/cell
Crystal system = cubic
D(E_F) = 1.185 states/eV/atom
Total DFT energy (no corrections) = -9.202 eV per atom

Cell: 4.5769 4.5769 4.5769 Å, 90.00 90.00 90.00°
Space group Pm-3m (No. 221)
Symmetry-distinct sites (fractional):
Zr  0.0000  0.0000  0.0000
Zr  0.0000  0.5000  0.5000
N  0.5000  0.5000  0.5000

No. 8
DFT (PBE-GGA) results for crystalline ZrN at its relaxed geometry.

V = 23 Å³/cell
Crystal system = cubic
D(E_F) = 0.287 states/eV/atom
Total DFT energy (no corrections) = -9.233 eV per atom

Cell: 2.8541 2.8541 2.8541 Å, 90.00 90.00 90.00°
Space group Pm-3m (No. 221)
Symmetry-distinct sites (fractional):
Zr  0.0000  0.0000  0.0000
N  0.5000  0.5000  0.5000

No. 9
DFT (PBE-GGA) results for crystalline ZrN at its relaxed geometry.

V = 192 Å³/cell
Crystal system = orthorhombic
D(E_F) = 0.395 states/eV/atom
Total DFT energy (no corrections) = -9.665 eV per atom

Cell: 3.2178 10.0270 5.9629 Å, 90.00 90.00 90.00°
Space group Amm2 (No. 38)
Symmetry-distinct sites (fractional):
Zr  0.0000  0.0000  0.0000
Zr  0.5000  0.2028  0.6696
N  0.0000  0.2311  0.9343
N  0.5000  0.0000  0.7577

No. 10
DFT (PBE-GGA) results for crystalline ZrN at its relaxed geometry.

V = 58 Å³/cell
Crystal system = hexagonal
D(E_F) = 0.522 states/eV/atom
Total DFT energy (no corrections) = -9.973 eV per atom

Cell: 3.7984 3.7984 4.6128 Å, 90.00 90.00 120.00°
Space group P6_3/mmc (No. 194)
Symmetry-distinct sites (fractional):
Zr  0.3333  0.6667  0.2500
N  0.3333  0.6667  0.7500

No. 11
DFT (PBE-GGA) results for crystalline Zr6N5 at its relaxed geometry.

V = 296 Å³/cell
Crystal system = monoclinic
D(E_F) = 0.378 states/eV/atom
Total DFT energy (no corrections) = -10.027 eV per atom

Cell: 5.6642 9.7977 5.6618 Å, 90.00 109.55 90.00°
Space group C2/m (No. 12)
Symmetry-distinct sites (fractional):
Zr  0.2404  0.0000  0.2591
Zr  0.2442  0.1732  0.7469
N  0.0000  0.0000  0.5000
N  0.0000  0.1647  0.0000
N  0.0000  0.3340  0.5000

No. 12
DFT (PBE-GGA) results for crystalline ZrN at its relaxed geometry.

V = 49 Å³/cell
Crystal system = hexagonal
D(E_F) = 0.621 states/eV/atom
Total DFT energy (no corrections) = -10.069 eV per atom

Cell: 3.2056 3.2056 5.5291 Å, 90.00 90.00 120.00°
Space group P6_3/mmc (No. 194)
Symmetry-distinct sites (fractional):
Zr  0.3333  0.6667  0.2500
N  0.0000  0.0000  0.0000

No. 13
DFT (PBE-GGA) results for crystalline Zr5N6 at its relaxed geometry.

V = 289 Å³/cell
Crystal system = monoclinic
D(E_F) = 0.214 states/eV/atom
Total DFT energy (no corrections) = -9.983 eV per atom

Cell: 5.6220 9.7277 5.5934 Å, 90.00 109.33 90.00°
Space group C2/m (No. 12)
Symmetry-distinct sites (fractional):
Zr  0.0000  0.0000  0.0000
Zr  0.0000  0.1671  0.5000
Zr  0.0000  0.3399  0.0000
N  0.2375  0.0000  0.7553
N  0.2381  0.1737  0.2403

No. 14
DFT (PBE-GGA) results for crystalline Zr5N at its relaxed geometry.

V = 245 Å³/cell
Crystal system = orthorhombic
D(E_F) = 1.290 states/eV/atom
Total DFT energy (no corrections) = -8.724 eV per atom

Cell: 5.3505 14.7718 3.1051 Å, 90.00 90.00 90.00°
Space group Cmmm (No. 65)
Symmetry-distinct sites (fractional):
Zr  0.0000  0.0000  0.0000
Zr  0.0000  0.1976  0.5000
Zr  0.0000  0.3936  0.0000
N  0.0000  0.5000  0.5000

No. 15
DFT (PBE-GGA) results for crystalline ZrN at its relaxed geometry.

V = 253 Å³/cell
Crystal system = tetragonal
D(E_F) = 0.199 states/eV/atom
Total DFT energy (no corrections) = -9.890 eV per atom

Cell: 7.4618 7.4618 4.5505 Å, 90.00 90.00 90.00°
Space group I4/m (No. 87)
Symmetry-distinct sites (fractional):
Zr  0.1339  0.3327  0.0000
N  0.1213  0.3284  0.5000

No. 16
DFT (PBE-GGA) results for crystalline Zr4N at its relaxed geometry.

Distance to the lowest polymorph of the same formula = 0.000 eV per atom
V = 196 Å³/cell
Crystal system = monoclinic
D(E_F) = 0.904 states/eV/atom
Total DFT energy (no corrections) = -9.228 eV per atom

Cell: 6.5804 5.2696 6.4896 Å, 90.00 119.47 90.00°
Space group P2_1/c (No. 14)
Symmetry-distinct sites (fractional):
Zr  0.1495  0.2498  0.3245
Zr  0.3331  0.7348  0.1661
N  0.0000  0.0000  0.5000

No. 17
DFT (PBE-GGA) results for crystalline ZrN at its relaxed geometry.

V = 225 Å³/cell
Crystal system = cubic
D(E_F) = 0.586 states/eV/atom
Total DFT energy (no corrections) = -9.630 eV per atom

Cell: 6.0823 6.0823 6.0823 Å, 90.00 90.00 90.00°
Space group Pm-3n (No. 223)
Symmetry-distinct sites (fractional):
Zr  0.0000  0.2500  0.5000
N  0.0000  0.5000  0.2500

No. 18
DFT (PBE-GGA) results for crystalline Na at its relaxed geometry.

Distance to the lowest polymorph of the same formula = 0.062 eV per atom
ΔE_f = 0.062 eV/atom
V = 616 Å³/cell
Crystal system = tetragonal
D(E_F) = 0.513 states/eV/atom
Total DFT energy (no corrections) = -1.257 eV per atom

Cell: 13.1591 13.1591 3.5593 Å, 90.00 90.00 90.00°
Space group I4/m (No. 87)
Symmetry-distinct sites (fractional):
Na  0.0959  0.6428  0.0000
Na  0.1005  0.1614  0.0000

No. 19
DFT (PBE-GGA) results for crystalline Na at its relaxed geometry.

Distance to the lowest polymorph of the same formula = 0.022 eV per atom
ΔE_f = 0.022 eV/atom
V = 755 Å³/cell
Crystal system = cubic
D(E_F) = 0.511 states/eV/atom
Total DFT energy (no corrections) = -1.297 eV per atom

Cell: 9.1041 9.1041 9.1041 Å, 90.00 90.00 90.00°
Space group P4_132 (No. 213)
Symmetry-distinct sites (fractional):
Na  0.0471  0.1250  0.7971
Na  0.0620  0.9380  0.4380

No. 20
DFT (PBE-GGA) results for crystalline Na at its relaxed geometry.

Distance to the lowest polymorph of the same formula = 0.019 eV per atom
ΔE_f = 0.019 eV/atom
V = 2162 Å³/cell
Crystal system = cubic
D(E_F) = 0.362 states/eV/atom
Total DFT energy (no corrections) = -1.300 eV per atom

Cell: 12.9300 12.9300 12.9300 Å, 90.00 90.00 90.00°
Space group I-43m (No. 217)
Symmetry-distinct sites (fractional):
Na  0.0000  0.0000  0.0000
Na  0.0439  0.3611  0.3611
Na  0.0920  0.0920  0.2824
Na  0.1799  0.1799  0.8201